(1)
# Ti3CoSb

Crystalline Ti3CoSb at its relaxed geometry (PBEsol, Alexandria).

Lattice parameters (Å, degrees): 4.452 4.452 4.452 90.00 90.00 90.00
Positions (direct):
Ti  0.000  0.000  0.500
Ti  0.000  0.500  0.000
Ti  0.500  0.000  0.000
Co  0.000  0.000  0.000
Sb  0.500  0.500  0.500

**VASP energy**: -37.91 eV/cell
**Formation energy from raw total energies**: -130 meV/atom
**Crystal system**: cubic
**Space-group type**: No. 221
**M_tot**: 0.00 μB/cell

---

(2)
# Tl2CoSb

Crystalline Tl2CoSb at its relaxed geometry (PBEsol, Alexandria).

Lattice parameters (Å, degrees): 6.183 6.183 3.562 105.91 105.91 124.73
Positions (direct):
Tl  0.000  0.500  0.000
Tl  0.500  0.000  0.000
Co  0.000  0.000  0.500
Sb  0.500  0.500  0.500

**VASP energy**: -15.23 eV/cell
**Formation energy from raw total energies**: 581 meV/atom
**Crystal system**: monoclinic
**Space-group type**: No. 12
**M_tot**: 1.54 μB/cell

---

(3)
# Tl2CoSb

Crystalline Tl2CoSb at its relaxed geometry (PBEsol, Alexandria).

Lattice parameters (Å, degrees): 3.181 3.181 8.662 90.00 90.00 90.00
Positions (direct):
Tl  0.000  0.000  0.000
Tl  0.500  0.500  0.306
Co  0.000  0.000  0.526
Sb  0.500  0.500  0.677

**VASP energy**: -16.94 eV/cell
**Formation energy from raw total energies**: 153 meV/atom
**Crystal system**: tetragonal
**Space-group type**: No. 99
**M_tot**: 0.69 μB/cell

---

(4)
# TlCo2Sb2

Crystalline TlCo2Sb2 at its relaxed geometry (PBEsol, Alexandria).

Lattice parameters (Å, degrees): 5.791 5.791 5.791 134.07 134.07 66.97
Positions (direct):
Tl  0.000  0.000  0.000
Co  0.382  0.382  0.000
Co  0.618  0.618  0.000
Sb  0.250  0.750  0.500
Sb  0.750  0.250  0.500

**VASP energy**: -25.58 eV/cell
**Formation energy from raw total energies**: 329 meV/atom
**Crystal system**: tetragonal
**Space-group type**: No. 139
**M_tot**: 1.12 μB/cell

---

(5)
# Tl2CoSb

Crystalline Tl2CoSb at its relaxed geometry (PBEsol, Alexandria).

Lattice parameters (Å, degrees): 4.184 4.184 5.170 90.00 90.00 90.00
Positions (direct):
Tl  0.000  0.500  0.000
Tl  0.500  0.000  0.000
Co  0.000  0.000  0.500
Sb  0.500  0.500  0.500

**VASP energy**: -15.18 eV/cell
**Formation energy from raw total energies**: 595 meV/atom
**Crystal system**: tetragonal
**Space-group type**: No. 123
**M_tot**: 1.70 μB/cell

---

(6)
# Tl2CoSb

Crystalline Tl2CoSb at its relaxed geometry (PBEsol, Alexandria).

Lattice parameters (Å, degrees): 9.374 9.374 9.374 20.40 20.40 20.40
Positions (direct):
Tl  0.234  0.234  0.234
Tl  0.766  0.766  0.766
Co  0.500  0.500  0.500
Sb  0.000  0.000  0.000

**VASP energy**: -15.69 eV/cell
**Formation energy from raw total energies**: 466 meV/atom
**Crystal system**: trigonal
**Space-group type**: No. 166
**M_tot**: 0.94 μB/cell